28
Lattice="5.186 0.000 0.000 0.000 2.846 0.000 -1.385 0.000 18.508" Properties=species:S:1:pos:R:3 comment="Li4Fe3Co5O16 PBE+U optimized geometry" spacegroup="P2/m (10)" dft_energy_ev_per_atom=-5.770 pbc="T T T"
Li 0.000 0.000 0.000
Li 0.264 0.000 13.826
Li 1.901 0.000 9.254
Li 3.538 0.000 4.682
Fe 1.758 0.000 2.351
Fe 2.593 1.423 0.000
Fe 2.043 0.000 16.157
Co -0.693 1.423 9.254
Co 0.133 0.000 6.967
Co 0.943 1.423 4.672
Co 2.859 1.423 13.836
Co 3.668 0.000 11.541
O -0.859 1.423 12.666
O 0.266 0.000 3.624
O -0.041 0.000 10.316
O 1.086 1.423 1.185
O 0.793 1.423 8.098
O 0.519 0.000 17.431
O 1.602 0.000 5.731
O 1.366 1.423 14.985
O 2.435 1.423 3.523
O 2.200 0.000 12.777
O 3.283 0.000 1.077
O 3.008 1.423 10.410
O 2.715 1.423 17.323
O 3.842 0.000 8.192
O 3.536 0.000 14.884
O 4.660 1.423 5.842